Th3H2 PBE-GGA optimized geometry; SG = R-3c (167); electronic total energy = -59.47 eV per cell
1.0
3.0752 1.7755 6.1456
-3.0752 1.7755 6.1456
0.0000 -3.5509 6.1456
Th H
6 4
direct
0.0877 0.7500 0.4123
0.2500 0.5877 0.9123
0.4123 0.0877 0.7500
0.5877 0.9123 0.2500
0.7500 0.4123 0.0877
0.9123 0.2500 0.5877
0.1700 0.1700 0.1700
0.3300 0.3300 0.3300
0.6700 0.6700 0.6700
0.8300 0.8300 0.8300